Here is a relaxed structure of Cr2Te3I from the Alexandria database. Energies are from PBE-GGA.

The structure belongs to space group R-3m (No. 166, hexagonal axes); the cell edges are 7.7277, 7.7277 and 20.0206 Å and the angles 90.00°, 90.00° and 120.00°. The distinct sites, in fractional coordinates, are Cr at (0.0000, 0.0000, 0.0000), Cr at (0.0000, 0.5000, 0.0000), Te at (0.0016, 0.5008, 0.2550) and I at (0.0000, 0.0000, 0.2547).

As for the density: 5.91 g/cm3. The volume is 28.8 Å³ per atom. The value obtained for the total DFT energy (no corrections) is -188.48 eV/cell.

Here is a relaxed structure of Cr2TeI from the Alexandria database. Energies are from PBE-GGA.

The structure belongs to space group I-42d (No. 122); the cell edges are 6.456, 6.456 and 12.638 Å and the angles 90.00°, 90.00° and 90.00°. The distinct sites, in fractional coordinates, are Cr at (0.229, 0.250, 0.125), Te at (0.000, 0.000, 0.000) and I at (0.000, 0.000, 0.500).

Its distance to the lowest polymorph of the same formula is 0.000 eV per atom. As for the density: 4.52 g/cm3. The volume is 32.9 Å³ per atom.

Here is a relaxed structure of CrTeI3 from the Alexandria database. Energies are from PBE-GGA.

The structure belongs to space group Pm-3m (No. 221); the cell edges are 5.305, 5.305 and 5.305 Å and the angles 90.00°, 90.00° and 90.00°. The distinct sites, in fractional coordinates, are Cr at (0.000, 0.000, 0.000), Te at (0.500, 0.500, 0.500) and I at (0.000, 0.000, 0.500).

Its distance to the lowest polymorph of the same formula is 0.000 eV per atom. As for the density: 6.23 g/cm3. The volume is 29.9 Å³ per atom.

Here is a relaxed structure of TiCrTeI2 from the Alexandria database. Energies are from PBE-GGA.

The structure belongs to space group P4/mmm (No. 123); the cell edges are 5.602, 5.602 and 5.367 Å and the angles 90.00°, 90.00° and 90.00°. The distinct sites, in fractional coordinates, are Ti at (0.000, 0.000, 0.000), Cr at (0.500, 0.500, 0.500), Te at (0.000, 0.000, 0.500) and I at (0.000, 0.500, 0.000).

Its distance to the lowest polymorph of the same formula is 0.000 eV per atom. As for the density: 4.74 g/cm3. The volume is 33.7 Å³ per atom.

Here is a relaxed structure of TiCrTeI2 from the Alexandria database. Energies are from PBE-GGA.

The structure belongs to space group P4/mmm (No. 123); the cell edges are 5.381, 5.381 and 5.576 Å and the angles 90.00°, 90.00° and 90.00°. The distinct sites, in fractional coordinates, are Ti at (0.000, 0.000, 0.000), Cr at (0.500, 0.500, 0.500), Te at (0.500, 0.500, 0.000) and I at (0.000, 0.500, 0.500).

Its distance to the lowest polymorph of the same formula is 0.226 eV per atom. As for the density: 4.95 g/cm3. The volume is 32.3 Å³ per atom.

Here is a relaxed structure of TlCrTeI2 from the Alexandria database. Energies are from PBE-GGA.

The structure belongs to space group P4/mmm (No. 123); the cell edges are 5.756, 5.756 and 5.257 Å and the angles 90.00°, 90.00° and 90.00°. The distinct sites, in fractional coordinates, are Tl at (0.000, 0.000, 0.000), Cr at (0.500, 0.500, 0.500), Te at (0.500, 0.500, 0.000) and I at (0.000, 0.500, 0.500).

Its distance to the lowest polymorph of the same formula is 0.000 eV per atom. As for the density: 6.08 g/cm3. The volume is 34.8 Å³ per atom.

Here is a relaxed structure of Tl2CrTeI from the Alexandria database. Energies are from PBE-GGA.

The structure belongs to space group P4/mmm (No. 123); the cell edges are 6.407, 6.407 and 6.124 Å and the angles 90.00°, 90.00° and 90.00°. The distinct sites, in fractional coordinates, are Tl at (0.000, 0.500, 0.000), Cr at (0.000, 0.000, 0.500), Te at (0.500, 0.500, 0.000) and I at (0.500, 0.500, 0.500).

As for the density: 4.72 g/cm3. The volume is 50.3 Å³ per atom. The value obtained for the total DFT energy (no corrections) is -15.62 eV/cell.

Here is a relaxed structure of TlCrTe2I from the Alexandria database. Energies are from PBE-GGA.

The structure belongs to space group P4/mmm (No. 123); the cell edges are 5.275, 5.275 and 5.917 Å and the angles 90.00°, 90.00° and 90.00°. The distinct sites, in fractional coordinates, are Tl at (0.000, 0.000, 0.000), Cr at (0.500, 0.500, 0.500), Te at (0.000, 0.500, 0.500) and I at (0.500, 0.500, 0.000).

Its distance to the lowest polymorph of the same formula is 0.000 eV per atom. As for the density: 6.44 g/cm3. The volume is 32.9 Å³ per atom.

Here is a relaxed structure of TlCrTeI2 from the Alexandria database. Energies are from PBE-GGA.

The structure belongs to space group P4/mmm (No. 123); the cell edges are 6.065, 6.065 and 5.831 Å and the angles 90.00°, 90.00° and 90.00°. The distinct sites, in fractional coordinates, are Tl at (0.000, 0.000, 0.000), Cr at (0.500, 0.500, 0.500), Te at (0.000, 0.000, 0.500) and I at (0.000, 0.500, 0.000).

Its distance to the lowest polymorph of the same formula is 0.772 eV per atom. As for the density: 4.94 g/cm3. The volume is 42.9 Å³ per atom.

Here is a relaxed structure of TlCrTe2I from the Alexandria database. Energies are from PBE-GGA.

The structure belongs to space group P4/mmm (No. 123); the cell edges are 5.767, 5.767 and 6.131 Å and the angles 90.00°, 90.00° and 90.00°. The distinct sites, in fractional coordinates, are Tl at (0.000, 0.000, 0.000), Cr at (0.500, 0.500, 0.500), Te at (0.000, 0.500, 0.000) and I at (0.000, 0.000, 0.500).

Its distance to the lowest polymorph of the same formula is 0.822 eV per atom. As for the density: 5.20 g/cm3. The volume is 40.8 Å³ per atom.

Here is a relaxed structure of VCrTeI2 from the Alexandria database. Energies are from PBE-GGA.

The structure belongs to space group P4/mmm (No. 123); the cell edges are 5.613, 5.613 and 5.218 Å and the angles 90.00°, 90.00° and 90.00°. The distinct sites, in fractional coordinates, are V at (0.000, 0.000, 0.000), Cr at (0.500, 0.500, 0.500), Te at (0.000, 0.000, 0.500) and I at (0.000, 0.500, 0.000).

As for the density: 4.89 g/cm3. The volume is 32.9 Å³ per atom. The value obtained for the total DFT energy (no corrections) is -22.91 eV/cell.

Here is a relaxed structure of VCrTe2I from the Alexandria database. Energies are from PBE-GGA.

The structure belongs to space group P4/mmm (No. 123); the cell edges are 5.144, 5.144 and 5.924 Å and the angles 90.00°, 90.00° and 90.00°. The distinct sites, in fractional coordinates, are V at (0.000, 0.000, 0.000), Cr at (0.500, 0.500, 0.500), Te at (0.000, 0.500, 0.000) and I at (0.000, 0.000, 0.500).

Its distance to the lowest polymorph of the same formula is 0.000 eV per atom. As for the density: 5.14 g/cm3. The volume is 31.3 Å³ per atom.

Here is a relaxed structure of VCrTe2I from the Alexandria database. Energies are from PBE-GGA.

The structure belongs to space group P4/mmm (No. 123); the cell edges are 5.277, 5.277 and 5.331 Å and the angles 90.00°, 90.00° and 90.00°. The distinct sites, in fractional coordinates, are V at (0.000, 0.000, 0.000), Cr at (0.500, 0.500, 0.500), Te at (0.000, 0.500, 0.500) and I at (0.500, 0.500, 0.000).

Its distance to the lowest polymorph of the same formula is 0.370 eV per atom. As for the density: 5.43 g/cm3. The volume is 29.7 Å³ per atom.

Here is a relaxed structure of CrTe2WI from the Alexandria database. Energies are from PBE-GGA.

The structure belongs to space group P4/mmm (No. 123); the cell edges are 5.139, 5.139 and 5.111 Å and the angles 90.00°, 90.00° and 90.00°. The distinct sites, in fractional coordinates, are Cr at (0.000, 0.000, 0.000), Te at (0.000, 0.500, 0.000), W at (0.500, 0.500, 0.500) and I at (0.000, 0.000, 0.500).

Its distance to the lowest polymorph of the same formula is 0.562 eV per atom. As for the density: 7.60 g/cm3. The volume is 27.0 Å³ per atom.

Here is a relaxed structure of CrTeWI2 from the Alexandria database. Energies are from PBE-GGA.

The structure belongs to space group P4/mmm (No. 123); the cell edges are 5.198, 5.198 and 5.363 Å and the angles 90.00°, 90.00° and 90.00°. The distinct sites, in fractional coordinates, are Cr at (0.000, 0.000, 0.000), Te at (0.000, 0.000, 0.500), W at (0.500, 0.500, 0.500) and I at (0.000, 0.500, 0.000).

Its distance to the lowest polymorph of the same formula is 0.576 eV per atom. As for the density: 7.07 g/cm3. The volume is 29.0 Å³ per atom.

Here is a relaxed structure of CrTeWI2 from the Alexandria database. Energies are from PBE-GGA.

The structure belongs to space group P4/mmm (No. 123); the cell edges are 5.675, 5.675 and 5.251 Å and the angles 90.00°, 90.00° and 90.00°. The distinct sites, in fractional coordinates, are Cr at (0.000, 0.000, 0.000), Te at (0.500, 0.500, 0.000), W at (0.500, 0.500, 0.500) and I at (0.000, 0.500, 0.500).

Its distance to the lowest polymorph of the same formula is 0.000 eV per atom. As for the density: 6.06 g/cm3. The volume is 33.8 Å³ per atom.

Here is a relaxed structure of CrTe2WI from the Alexandria database. Energies are from PBE-GGA.

The structure belongs to space group P4/mmm (No. 123); the cell edges are 5.242, 5.242 and 5.860 Å and the angles 90.00°, 90.00° and 90.00°. The distinct sites, in fractional coordinates, are Cr at (0.000, 0.000, 0.000), Te at (0.000, 0.500, 0.500), W at (0.500, 0.500, 0.500) and I at (0.500, 0.500, 0.000).

Its distance to the lowest polymorph of the same formula is 0.000 eV per atom. As for the density: 6.37 g/cm3. The volume is 32.2 Å³ per atom.

Here is a relaxed structure of YCrTe2I from the Alexandria database. Energies are from PBE-GGA.

The structure belongs to space group P4/mmm (No. 123); the cell edges are 4.954, 4.954 and 5.862 Å and the angles 90.00°, 90.00° and 90.00°. The distinct sites, in fractional coordinates, are Y at (0.000, 0.000, 0.000), Cr at (0.000, 0.000, 0.500), Te at (0.000, 0.500, 0.500) and I at (0.500, 0.500, 0.000).

Its distance to the lowest polymorph of the same formula is 0.085 eV per atom. As for the density: 6.04 g/cm3. The volume is 28.8 Å³ per atom.

Here is a relaxed structure of YCrTeI2 from the Alexandria database. Energies are from PBE-GGA.

The structure belongs to space group P4/mmm (No. 123); the cell edges are 5.943, 5.943 and 5.988 Å and the angles 90.00°, 90.00° and 90.00°. The distinct sites, in fractional coordinates, are Y at (0.000, 0.000, 0.000), Cr at (0.500, 0.500, 0.500), Te at (0.000, 0.000, 0.500) and I at (0.000, 0.500, 0.000).

Its distance to the lowest polymorph of the same formula is 0.000 eV per atom. As for the density: 4.10 g/cm3. The volume is 42.3 Å³ per atom.

Here is a relaxed structure of YCrTeI2 from the Alexandria database. Energies are from PBE-GGA.

The structure belongs to space group P4/mmm (No. 123); the cell edges are 5.365, 5.365 and 5.590 Å and the angles 90.00°, 90.00° and 90.00°. The distinct sites, in fractional coordinates, are Y at (0.000, 0.000, 0.000), Cr at (0.500, 0.500, 0.500), Te at (0.500, 0.500, 0.000) and I at (0.000, 0.500, 0.500).

Its distance to the lowest polymorph of the same formula is 0.060 eV per atom. As for the density: 5.39 g/cm3. The volume is 32.2 Å³ per atom.